The following is a PBE calculation of an optimized crystal structure of LaNdIr2, from Alexandria.

Results
As for the calculated density: 11.603 g cm⁻³. The value obtained for the energy relative to the elements is -0.649 eV/atom. As for the energy relative to the lowest polymorph listed for this composition: 0 meV/atom.

abc: 4.079 4.242 5.885
angles: 90.00 110.25 90.00
Element x y z (fractional)
La (0.438, 0.500, 0.416)
Nd (0.727, 0.000, 0.992)
Ir (0.162, 0.500, 0.863)
Ir (0.004, 0.000, 0.548)


The following is a PBE calculation of an optimized crystal structure of GdDyNiPt, from Alexandria.

Results
As for the calculated density: 11.455 g cm⁻³. The value obtained for the energy relative to the elements is -0.777 eV/atom.

abc: 4.899 4.899 4.899
angles: 60.00 60.00 60.00
Site moments in Bohr magnetons follow the coordinates.
Element x y z (fractional)
Ni (0.250, 0.250, 0.250)  0.04
Gd (0.500, 0.500, 0.500)  7.01
Pt (0.750, 0.750, 0.750)  0.01
Dy (0.000, 0.000, 0.000)  0.04


The following is a PBE calculation of an optimized crystal structure of AcTbBi2, from Alexandria.

Results
As for the calculated density: 8.940 g cm⁻³. The value obtained for the energy relative to the elements is -0.804 eV/atom. As for the energy relative to the lowest polymorph listed for this composition: 121 meV/atom.

abc: 4.635 4.635 8.461
angles: 74.10 74.10 60.00
Element x y z (fractional)
Ac (0.669, 0.669, 0.994)
Tb (0.498, 0.498, 0.505)
Bi (0.089, 0.089, 0.734)
Bi (0.244, 0.244, 0.267)